[1]
{"formula": "CaPPb2", "functional": "GGA-PBE", "state": "relaxed", "total_energy_ev_per_atom": -3.8972, "space_group": "Cmmm", "lattice_angstrom": [[5.4196, 0.0000, 0.0000], [0.0000, 4.6315, 0.0131], [0.0000, 0.6804, 4.5842]], "species": ["Pb", "Pb", "P", "Ca"], "frac_coords": [[0.0000, 0.9582, 0.9583], [0.0000, 0.5418, 0.5417], [0.5000, 0.7500, 0.7500], [0.5000, 0.2500, 0.2500]]}

[2]
{"formula": "Na3TmHg12", "functional": "GGA-PBE", "state": "relaxed", "total_energy_ev_per_atom": -0.9567, "space_group": "P4/mmm", "lattice_angstrom": [[-1.1069, 3.3109, 3.0255], [-4.4644, -0.5150, -1.0698], [-1.7458, -12.9280, 13.5088]], "species": ["Hg", "Hg", "Hg", "Hg", "Hg", "Hg", "Hg", "Hg", "Hg", "Hg", "Hg", "Hg", "Na", "Na", "Na", "Tm"], "frac_coords": [[0.0000, 0.5000, 0.8787], [0.5000, 0.5000, 0.2449], [0.5000, 0.0000, 0.8787], [0.5000, 0.5000, 0.0000], [0.0000, 0.5000, 0.3724], [0.5000, 0.0000, 0.1213], [0.5000, 0.0000, 0.3724], [0.0000, 0.5000, 0.1213], [0.0000, 0.5000, 0.6276], [0.5000, 0.0000, 0.6276], [0.5000, 0.5000, 0.7551], [0.5000, 0.5000, 0.5000], [0.0000, 0.0000, 0.7531], [0.0000, 0.0000, 0.2469], [0.0000, 0.0000, 0.5000], [0.0000, 0.0000, 0.0000]]}

[3]
{"formula": "KZn2Bi2", "functional": "GGA-PBE", "state": "relaxed", "de_polymorph_ev_per_atom": 0.202, "space_group": "P4/mbm", "lattice_angstrom": [[-4.2181, -0.0648, 7.8970], [-7.6687, -2.1048, -4.1134], [0.7405, -3.4162, 0.3675]], "species": ["Zn", "Zn", "Zn", "Zn", "Bi", "Bi", "Bi", "Bi", "K", "K"], "frac_coords": [[0.8533, 0.3533, 0.5000], [0.3533, 0.1467, 0.5000], [0.6467, 0.8533, 0.5000], [0.1467, 0.6467, 0.5000], [0.6426, 0.1426, 0.0000], [0.8574, 0.6426, 0.0000], [0.3574, 0.8574, 0.0000], [0.1426, 0.3574, 0.0000], [0.5000, 0.5000, 0.0000], [0.0000, 0.0000, 0.0000]]}

[4]
{"formula": "LiTi2B2Rh5", "functional": "GGA-PBE", "state": "relaxed", "total_energy_ev_per_atom": -7.4391, "space_group": "P4/mbm", "lattice_angstrom": [[-0.9293, -2.4275, 1.4808], [6.8928, 0.9536, 5.8889], [-5.2506, 5.2413, 5.2970]], "species": ["Ti", "Ti", "Ti", "Ti", "Rh", "Rh", "Rh", "Rh", "Rh", "Rh", "Rh", "Rh", "Rh", "Rh", "B", "B", "B", "B", "Li", "Li"], "frac_coords": [[0.0000, 0.1752, 0.3248], [0.0000, 0.8248, 0.6752], [0.0000, 0.6752, 0.1752], [0.0000, 0.3248, 0.8248], [0.5000, 0.4287, 0.2883], [0.5000, 0.9287, 0.2117], [0.5000, 0.0000, 0.5000], [0.5000, 0.2883, 0.5713], [0.5000, 0.5713, 0.7117], [0.5000, 0.7117, 0.4287], [0.5000, 0.0713, 0.7883], [0.5000, 0.2117, 0.0713], [0.5000, 0.5000, 0.0000], [0.5000, 0.7883, 0.9287], [0.0000, 0.6293, 0.8707], [0.0000, 0.3707, 0.1293], [0.0000, 0.1293, 0.6293], [0.0000, 0.8707, 0.3707], [0.0000, 0.5000, 0.5000], [0.0000, 0.0000, 0.0000]]}

[5]
{"formula": "BiSbI2Br", "functional": "GGA-PBE", "state": "relaxed", "raw_formation_energy_mev_per_atom": 669, "de_polymorph_ev_per_atom": 0.382, "space_group": "P4/mmm", "lattice_angstrom": [[-0.7785, 0.1308, 5.6223], [5.3889, -1.6061, 0.7835], [1.6858, 5.7053, 0.1007]], "species": ["Sb", "Bi", "I", "I", "Br"], "frac_coords": [[0.0000, 0.0000, 0.5000], [0.5000, 0.5000, 0.5000], [0.0000, 0.5000, 0.0000], [0.5000, 0.0000, 0.0000], [0.0000, 0.0000, 0.0000]]}

[6]
{"formula": "CoOs2Se", "functional": "GGA-PBE", "state": "relaxed", "raw_formation_energy_mev_per_atom": 800, "space_group": "F-43m", "lattice_angstrom": [[-3.2127, -0.2569, 2.9074], [-3.3892, -2.6102, -0.7356], [-0.5112, -3.6093, 2.3563]], "species": ["Os", "Os", "Co", "Se"], "frac_coords": [[0.2500, 0.2500, 0.2500], [0.0000, 0.0000, 0.0000], [0.5000, 0.5000, 0.5000], [0.7500, 0.7500, 0.7500]]}

[7]
{"formula": "TiInS", "functional": "GGA-PBE", "state": "relaxed", "raw_formation_energy_mev_per_atom": -661, "space_group": "C2/m", "lattice_angstrom": [[-0.4385, 3.9420, 2.4694], [4.0913, -3.0942, 5.6660], [6.2731, 0.5737, -4.2218]], "species": ["Ti", "Ti", "Ti", "Ti", "In", "In", "In", "In", "S", "S", "S", "S"], "frac_coords": [[0.2672, 0.3500, 0.5344], [0.7328, 0.6500, 0.4656], [0.6728, 0.1380, 0.3457], [0.3272, 0.8620, 0.6543], [0.0617, 0.3395, 0.1234], [0.4566, 0.1811, 0.9132], [0.9383, 0.6605, 0.8766], [0.5434, 0.8189, 0.0868], [0.2060, 0.6461, 0.4119], [0.8097, 0.9357, 0.6194], [0.1903, 0.0643, 0.3806], [0.7940, 0.3539, 0.5881]]}

[8]
{"formula": "Y2TiInC", "functional": "GGA-PBE", "state": "relaxed", "de_polymorph_ev_per_atom": 0.000, "space_group": "P4/mmm", "lattice_angstrom": [[-4.7111, -1.4751, -0.0184], [1.2613, -3.9957, -2.6104], [0.6687, -2.1815, 3.6622]], "species": ["Ti", "In", "Y", "Y", "C"], "frac_coords": [[0.0000, 0.0000, 0.5000], [0.5000, 0.5000, 0.5000], [0.0000, 0.5000, 0.0000], [0.5000, 0.0000, 0.0000], [0.0000, 0.0000, 0.0000]]}

The following DOS at the Fermi energy values (in states/eV per atom) correspond, in order, to the records above: 0.543; 0.361; 0.515; 0.421; 0.671; 1.315; 0.599; 0.848.
The following spin magnetization values (in μB/cell) correspond, in order, to the records above: 0.000; 0.000; 0.000; 0.000; 0.318; 1.944; 0.000; 0.741.
The following V values (in Å³/cell) correspond, in order, to the records above: 115.02; 400.76; 281.74; 248.59; 191.79; 57.83; 257.62; 105.15.